Record 1
Crystalline Lu2ThSc at its relaxed geometry, computed with PBE.

Calculated values
Polymorph energy (0 for the lowest one) (eV per formula unit): 0.00
Symmetry: No. 123
Density (g cm⁻³): 9.00
ΔE_f (eV/atom): 0.036
Crystal system: tetragonal

Lattice parameters (Å, degrees): 4.835 4.835 4.946 90.00 90.00 90.00
Fractional positions:
Lu: 0.000 0.500 0.000
Lu: 0.500 0.000 0.000
Th: 0.000 0.000 0.500
Sc: 0.500 0.500 0.500

Record 2
Crystalline LuTh2Sc at its relaxed geometry, computed with PBE.

Calculated values
Symmetry: No. 123
Density (g cm⁻³): 9.56
ΔE_f (eV/atom): 0.028
Crystal system: tetragonal

Lattice parameters (Å, degrees): 4.975 4.975 4.800 90.00 90.00 90.00
Fractional positions:
Lu: 0.000 0.000 0.000
Th: 0.000 0.500 0.500
Th: 0.500 0.000 0.500
Sc: 0.500 0.500 0.000

Record 3
Crystalline Lu2ThSc at its relaxed geometry, computed with PBE.

Calculated values
Polymorph energy (0 for the lowest one) (eV per formula unit): 0.03
Symmetry: No. 123
Density (g cm⁻³): 8.97
ΔE_f (eV/atom): 0.044
Crystal system: tetragonal

Lattice parameters (Å, degrees): 3.442 3.442 9.803 90.00 90.00 90.00
Fractional positions:
Lu: 0.000 0.000 0.241
Lu: 0.000 0.000 0.759
Th: 0.500 0.500 0.500
Sc: 0.500 0.500 0.000

Record 4
Crystalline LuThSc at its relaxed geometry, computed with PBE.

Calculated values
Polymorph energy (0 for the lowest one) (eV per formula unit): 0.01
Symmetry: No. 156
Density (g cm⁻³): 8.71
ΔE_f (eV/atom): 0.038
Crystal system: trigonal

Lattice parameters (Å, degrees): 3.480 3.480 8.219 90.00 90.00 120.00
Fractional positions:
Lu: 0.000 0.000 0.000
Th: 0.333 0.667 0.656
Sc: 0.667 0.333 0.332

Record 5
Crystalline TmLuThSc at its relaxed geometry, computed with PBE.

Calculated values
Symmetry: No. 216
Density (g cm⁻³): 8.84
ΔE_f (eV/atom): 0.092
Crystal system: cubic

Lattice parameters (Å, degrees): 5.484 5.484 5.484 60.00 60.00 60.00
Fractional positions:
Tm: 0.000 0.000 0.000
Lu: 0.250 0.250 0.250
Th: 0.500 0.500 0.500
Sc: 0.750 0.750 0.750

Record 6
Crystalline LuThZrSc at its relaxed geometry, computed with PBE.

Calculated values
Symmetry: No. 216
Density (g cm⁻³): 8.40
ΔE_f (eV/atom): 0.106
Crystal system: cubic

Lattice parameters (Å, degrees): 5.335 5.335 5.335 60.00 60.00 60.00
Fractional positions:
Lu: 0.000 0.000 0.000
Th: 0.500 0.500 0.500
Zr: 0.250 0.250 0.250
Sc: 0.750 0.750 0.750

Record 7
Crystalline LuSc2Ti at its relaxed geometry, computed with PBE.

Calculated values
Polymorph energy (0 for the lowest one) (eV per formula unit): 0.00
Symmetry: No. 166
Density (g cm⁻³): 5.52
ΔE_f (eV/atom): 0.134
Crystal system: trigonal

Lattice parameters (Å, degrees): 10.655 10.655 10.655 17.37 17.37 17.37
Fractional positions:
Lu: 0.000 0.000 0.000
Sc: 0.242 0.242 0.242
Sc: 0.758 0.758 0.758
Ti: 0.500 0.500 0.500

Record 8
Crystalline LuScTi at its relaxed geometry, computed with PBE.

Calculated values
Symmetry: No. 187
Density (g cm⁻³): 6.37
ΔE_f (eV/atom): 0.145
Crystal system: hexagonal

Lattice parameters (Å, degrees): 5.042 5.042 3.169 90.00 90.00 120.00
Fractional positions:
Lu: 0.000 0.000 0.000
Sc: 0.333 0.667 0.500
Ti: 0.667 0.333 0.500

Record 9
Crystalline LuSc2Ti at its relaxed geometry, computed with PBE.

Calculated values
Polymorph energy (0 for the lowest one) (eV per formula unit): 0.02
Symmetry: No. 123
Density (g cm⁻³): 5.38
ΔE_f (eV/atom): 0.138
Crystal system: tetragonal

Lattice parameters (Å, degrees): 3.551 3.551 7.651 90.00 90.00 90.00
Fractional positions:
Lu: 0.000 0.000 0.000
Sc: 0.500 0.500 0.293
Sc: 0.500 0.500 0.707
Ti: 0.000 0.000 0.500

Record 10
Crystalline LuSc2Ti at its relaxed geometry, computed with PBE.

Calculated values
Polymorph energy (0 for the lowest one) (eV per formula unit): 0.28
Symmetry: No. 225
Density (g cm⁻³): 5.43
ΔE_f (eV/atom): 0.203
Crystal system: cubic

Lattice parameters (Å, degrees): 5.135 5.135 5.135 60.00 60.00 60.00
Fractional positions:
Lu: 0.000 0.000 0.000
Sc: 0.250 0.250 0.250
Sc: 0.750 0.750 0.750
Ti: 0.500 0.500 0.500

Record 11
Crystalline LuSc2Ti at its relaxed geometry, computed with PBE.

Calculated values
Polymorph energy (0 for the lowest one) (eV per formula unit): 0.05
Symmetry: No. 123
Density (g cm⁻³): 5.52
ΔE_f (eV/atom): 0.147
Crystal system: tetragonal

Lattice parameters (Å, degrees): 4.536 4.536 4.573 90.00 90.00 90.00
Fractional positions:
Lu: 0.000 0.000 0.000
Sc: 0.000 0.500 0.500
Sc: 0.500 0.000 0.500
Ti: 0.500 0.500 0.000

Record 12
Crystalline LuScTiTl at its relaxed geometry, computed with PBE.

Calculated values
Symmetry: No. 216
Density (g cm⁻³): 8.44
ΔE_f (eV/atom): -0.004
Crystal system: cubic

Lattice parameters (Å, degrees): 5.083 5.083 5.083 60.00 60.00 60.00
Fractional positions:
Lu: 0.000 0.000 0.000
Sc: 0.500 0.500 0.500
Ti: 0.250 0.250 0.250
Tl: 0.750 0.750 0.750